No. 1
# TaNi2As GGA-PBE relaxed
# **Mass density**: 11.03 g cm⁻³
# **DFT formation energy**: -0.23 eV per atom
# **Crystal system**: orthorhombic
# **Energy**: -7.244 eV/atom
# **DOS at the Fermi energy**: 0.37 states/eV per atom
data_TaNi2As
_chemical_formula_sum 'Ta1 Ni2 As1'
_cell_length_a 2.825
_cell_length_b 4.005
_cell_length_c 4.966
_cell_angle_alpha 90.00
_cell_angle_beta 90.00
_cell_angle_gamma 90.00
_space_group_name_H-M_alt 'P m m m'
_space_group_IT_number 47
loop_
_space_group_symop_operation_xyz
'x,y,z'
'-x,-y,-z'
'-x,-y,z'
'x,y,-z'
'x,-y,-z'
'-x,y,z'
'-x,y,-z'
'x,-y,z'
loop_
_atom_site_label
_atom_site_type_symbol
_atom_site_fract_x
_atom_site_fract_y
_atom_site_fract_z
Ta1 Ta 0.000 0.000 0.000
Ni1 Ni 0.500 0.500 0.239
As1 As 0.500 0.000 0.500

No. 2
# TaNiAs GGA-PBE relaxed
# **Mass density**: 12.11 g cm⁻³
# **DFT formation energy**: -0.41 eV per atom
# **Crystal system**: orthorhombic
# **Energy**: -7.838 eV/atom
# **DOS at the Fermi energy**: 0.14 states/eV per atom
data_TaNiAs
_chemical_formula_sum 'Ta4 Ni4 As4'
_cell_length_a 6.338
_cell_length_b 3.717
_cell_length_c 7.322
_cell_angle_alpha 90.00
_cell_angle_beta 90.00
_cell_angle_gamma 90.00
_space_group_name_H-M_alt 'P n m a'
_space_group_IT_number 62
loop_
_space_group_symop_operation_xyz
'x,y,z'
'-x,-y,-z'
'-x+1/2,-y,z+1/2'
'x+1/2,y,-z+1/2'
'x+1/2,-y+1/2,-z+1/2'
'-x+1/2,y+1/2,z+1/2'
'-x,y+1/2,-z'
'x,-y+1/2,z'
loop_
_atom_site_label
_atom_site_type_symbol
_atom_site_fract_x
_atom_site_fract_y
_atom_site_fract_z
Ta1 Ta 0.015 0.250 0.162
Ni1 Ni 0.165 0.250 0.578
As1 As 0.208 0.750 0.381

No. 3
# TaNi2As2 GGA-PBE relaxed
# **Mass density**: 10.38 g cm⁻³
# **DFT formation energy**: -0.16 eV per atom
# **Crystal system**: tetragonal
# **Energy**: -6.700 eV/atom
# **DOS at the Fermi energy**: 0.54 states/eV per atom
data_TaNi2As2
_chemical_formula_sum 'Ta2 Ni4 As4'
_cell_length_a 6.981
_cell_length_b 6.981
_cell_length_c 2.943
_cell_angle_alpha 90.00
_cell_angle_beta 90.00
_cell_angle_gamma 90.00
_space_group_name_H-M_alt 'P 4/m b m'
_space_group_IT_number 127
_space_group_name_Hall '-P 4 2ab'
loop_
_atom_site_label
_atom_site_type_symbol
_atom_site_fract_x
_atom_site_fract_y
_atom_site_fract_z
Ta1 Ta 0.000 0.000 0.000
Ni1 Ni 0.139 0.361 0.500
As1 As 0.156 0.656 0.000

No. 4
# Ta2NiAs GGA-PBE relaxed
# **Mass density**: 13.27 g cm⁻³
# **DFT formation energy**: -0.16 eV per atom
# **Crystal system**: monoclinic
# **Energy**: -8.694 eV/atom
# **DOS at the Fermi energy**: 0.88 states/eV per atom
data_Ta2NiAs
_chemical_formula_sum 'Ta4 Ni2 As2'
_cell_length_a 9.682
_cell_length_b 3.239
_cell_length_c 4.446
_cell_angle_alpha 90.00
_cell_angle_beta 117.23
_cell_angle_gamma 90.00
_space_group_name_H-M_alt 'C 1 m 1'
_space_group_IT_number 8
loop_
_space_group_symop_operation_xyz
'x,y,z'
'x,-y,z'
'x+1/2,y+1/2,z'
'x+1/2,-y+1/2,z'
loop_
_atom_site_label
_atom_site_type_symbol
_atom_site_fract_x
_atom_site_fract_y
_atom_site_fract_z
Ta1 Ta 0.000 0.000 0.000
Ta2 Ta 0.222 0.000 0.721
Ni1 Ni 0.257 0.500 0.256
As1 As 0.463 0.000 0.464

No. 5
# TaNi2As GGA-PBE relaxed
# **Mass density**: 11.24 g cm⁻³
# **DFT formation energy**: -0.09 eV per atom
# **Crystal system**: cubic
# **Energy**: -7.109 eV/atom
# **DOS at the Fermi energy**: 0.78 states/eV per atom
data_TaNi2As
_chemical_formula_sum 'Ta4 Ni8 As4'
_cell_length_a 6.042
_cell_length_b 6.042
_cell_length_c 6.042
_cell_angle_alpha 90.00
_cell_angle_beta 90.00
_cell_angle_gamma 90.00
_space_group_name_H-M_alt 'F -4 3 m'
_space_group_IT_number 216
_space_group_name_Hall 'F -4 2 3'
loop_
_atom_site_label
_atom_site_type_symbol
_atom_site_fract_x
_atom_site_fract_y
_atom_site_fract_z
Ta1 Ta 0.000 0.000 0.000
Ni1 Ni 0.000 0.000 0.500
Ni2 Ni 0.250 0.250 0.750
As1 As 0.250 0.250 0.250

No. 6
# TaNi2As GGA-PBE relaxed
# **Mass density**: 11.16 g cm⁻³
# **DFT formation energy**: -0.19 eV per atom
# **Crystal system**: orthorhombic
# **Energy**: -7.210 eV/atom
# **DOS at the Fermi energy**: 0.43 states/eV per atom
data_TaNi2As
_chemical_formula_sum 'Ta2 Ni4 As2'
_cell_length_a 3.792
_cell_length_b 2.856
_cell_length_c 10.259
_cell_angle_alpha 90.00
_cell_angle_beta 90.00
_cell_angle_gamma 90.00
_space_group_name_H-M_alt 'A m m 2'
_space_group_IT_number 38
loop_
_space_group_symop_operation_xyz
'x,y,z'
'-x,-y,z'
'-x,y,z'
'x,-y,z'
'x,y+1/2,z+1/2'
'-x,-y+1/2,z+1/2'
'-x,y+1/2,z+1/2'
'x,-y+1/2,z+1/2'
loop_
_atom_site_label
_atom_site_type_symbol
_atom_site_fract_x
_atom_site_fract_y
_atom_site_fract_z
Ta1 Ta 0.000 0.000 0.000
Ni1 Ni 0.000 0.000 0.754
Ni2 Ni 0.500 0.000 0.369
As1 As 0.500 0.000 0.630

No. 7
# TaNiAs GGA-PBE relaxed
# **Mass density**: 11.61 g cm⁻³
# **DFT formation energy**: -0.13 eV per atom
# **Crystal system**: orthorhombic
# **Energy**: -7.559 eV/atom
# **DOS at the Fermi energy**: 0.38 states/eV per atom
data_TaNiAs
_chemical_formula_sum 'Ta4 Ni4 As4'
_cell_length_a 3.967
_cell_length_b 4.771
_cell_length_c 9.509
_cell_angle_alpha 90.00
_cell_angle_beta 90.00
_cell_angle_gamma 90.00
_space_group_name_H-M_alt 'F m m 2'
_space_group_IT_number 42
_space_group_name_Hall 'F 2 -2'
loop_
_atom_site_label
_atom_site_type_symbol
_atom_site_fract_x
_atom_site_fract_y
_atom_site_fract_z
Ta1 Ta 0.000 0.000 0.000
Ni1 Ni 0.000 0.000 0.672
As1 As 0.000 0.000 0.309

No. 8
# TaNi2As GGA-PBE relaxed
# **Mass density**: 11.07 g cm⁻³
# **DFT formation energy**: -0.09 eV per atom
# **Crystal system**: tetragonal
# **Energy**: -7.109 eV/atom
# **DOS at the Fermi energy**: 1.29 states/eV per atom
data_TaNi2As
_chemical_formula_sum 'Ta1 Ni2 As1'
_cell_length_a 2.980
_cell_length_b 2.980
_cell_length_c 6.307
_cell_angle_alpha 90.00
_cell_angle_beta 90.00
_cell_angle_gamma 90.00
_space_group_name_H-M_alt 'P 4/m m m'
_space_group_IT_number 123
_space_group_name_Hall '-P 4 2'
loop_
_atom_site_label
_atom_site_type_symbol
_atom_site_fract_x
_atom_site_fract_y
_atom_site_fract_z
Ta1 Ta 0.000 0.000 0.000
Ni1 Ni 0.500 0.500 0.270
As1 As 0.000 0.000 0.500